# 1
DFT (PBE-GGA) results for a geometry-optimized Ag4ClF3 structure.

Properties
raw formation energy = -6.57 eV/f.u.
energy relative to the lowest polymorph listed for this composition = 0.047 eV/f.u.

a = 10.2108 Å, b = 7.1048 Å, c = 3.7915 Å
α = 90.00°, β = 91.17°, γ = 90.00°
Space group C2/m (No. 12)
Asymmetric unit:
Ag1 0.0000 0.2293 0.0000 (multiplicity 4)
Ag2 0.2409 0.0000 0.4989 (multiplicity 4)
Cl1 0.0000 0.5000 0.5000 (multiplicity 2)
F1 0.0000 0.0000 0.5000 (multiplicity 2)
F2 0.2500 0.2500 0.0000 (multiplicity 4)

***

# 2
DFT (PBE-GGA) results for a geometry-optimized Ag5Cl2F2 structure.

Properties
raw formation energy = -5.24 eV/f.u.
energy relative to the lowest polymorph listed for this composition = 0.000 eV/f.u.

a = 4.2823 Å, b = 4.6240 Å, c = 8.4163 Å
α = 86.72°, β = 88.09°, γ = 89.72°
Space group P-1 (No. 2)
Asymmetric unit:
Ag1 0.0000 0.0000 0.0000 (multiplicity 1)
Ag2 0.0081 0.2540 0.3825 (multiplicity 2)
Ag3 0.4920 0.2461 0.6143 (multiplicity 2)
Cl1 0.4740 0.7644 0.8237 (multiplicity 2)
F1 0.0190 0.7386 0.2475 (multiplicity 2)

***

# 3
DFT (PBE-GGA) results for a geometry-optimized Ag8Cl6F structure.

Properties
raw formation energy = -5.60 eV/f.u.

a = 11.0597 Å, b = 11.0597 Å, c = 9.5035 Å
α = 90.00°, β = 90.00°, γ = 120.00°
Space group R-3 (No. 148, hexagonal axes)
Asymmetric unit:
Ag1 0.0000 0.0000 0.2180 (multiplicity 6)
Ag2 0.0667 0.8221 0.6151 (multiplicity 18)
Cl1 0.0217 0.7798 0.1662 (multiplicity 18)
F1 0.0000 0.0000 0.5000 (multiplicity 3)

***

# 4
DFT (PBE-GGA) results for a geometry-optimized Ag4Cl6F structure.

Properties
raw formation energy = -5.04 eV/f.u.

a = 6.9346 Å, b = 6.9489 Å, c = 7.2897 Å
α = 108.99°, β = 107.89°, γ = 109.53°
Space group P1 (No. 1)
Asymmetric unit:
Ag1 0.0000 0.0000 0.0000 (multiplicity 1)
Ag2 0.1837 0.4516 0.7052 (multiplicity 1)
Ag3 0.4237 0.9259 0.5016 (multiplicity 1)
Ag4 0.7464 0.4805 0.2959 (multiplicity 1)
Cl1 0.1725 0.1193 0.4170 (multiplicity 1)
Cl2 0.1979 0.7682 0.9991 (multiplicity 1)
Cl3 0.3649 0.3646 0.9996 (multiplicity 1)
Cl4 0.7027 0.7596 0.5830 (multiplicity 1)
Cl5 0.7270 0.2313 0.5034 (multiplicity 1)
Cl6 0.7685 0.1979 0.0036 (multiplicity 1)
F1 0.1509 0.6519 0.5007 (multiplicity 1)

***

# 5
DFT (PBE-GGA) results for a geometry-optimized Ag3Cl2F structure.

Properties
raw formation energy = -3.64 eV/f.u.
energy relative to the lowest polymorph listed for this composition = 0.000 eV/f.u.

a = 11.8709 Å, b = 6.8807 Å, c = 6.0465 Å
α = 90.00°, β = 90.00°, γ = 90.00°
Space group Cmc2_1 (No. 36)
Asymmetric unit:
Ag1 0.0000 0.0486 0.0000 (multiplicity 4)
Ag2 0.1517 0.4734 0.6026 (multiplicity 8)
Cl1 0.1607 0.1759 0.3148 (multiplicity 8)
F1 0.0000 0.3707 0.8615 (multiplicity 4)

***

# 6
DFT (PBE-GGA) results for a geometry-optimized Ag4ClF4 structure.

Properties
raw formation energy = -8.15 eV/f.u.

a = 11.8980 Å, b = 3.6867 Å, c = 8.6604 Å
α = 90.00°, β = 121.89°, γ = 90.00°
Space group C2/m (No. 12)
Asymmetric unit:
Ag1 0.0974 0.0000 0.3552 (multiplicity 4)
Ag2 0.2146 0.5000 0.8075 (multiplicity 4)
Cl1 0.0000 0.5000 0.5000 (multiplicity 2)
F1 0.1231 0.0000 0.8978 (multiplicity 4)
F2 0.2125 0.5000 0.3159 (multiplicity 4)

***

# 7
DFT (PBE-GGA) results for a geometry-optimized Ag5Cl2F4 structure.

Properties
raw formation energy = -9.12 eV/f.u.

a = 5.2226 Å, b = 6.5981 Å, c = 7.1633 Å
α = 67.14°, β = 75.59°, γ = 68.70°
Space group P-1 (No. 2)
Asymmetric unit:
Ag1 0.0000 0.0000 0.0000 (multiplicity 1)
Ag2 0.1416 0.2649 0.3805 (multiplicity 2)
Ag3 0.4807 0.2893 0.7742 (multiplicity 2)
Cl1 0.3568 0.7324 0.6347 (multiplicity 2)
F1 0.0107 0.2964 0.7021 (multiplicity 2)
F2 0.2770 0.1247 0.1196 (multiplicity 2)

***

# 8
DFT (PBE-GGA) results for a geometry-optimized Ag2ClF2 structure.

Properties
raw formation energy = -3.70 eV/f.u.
energy relative to the lowest polymorph listed for this composition = 0.585 eV/f.u.

a = 6.3706 Å, b = 6.3706 Å, c = 10.9278 Å
α = 90.00°, β = 90.00°, γ = 90.00°
Space group I4_1md (No. 109)
Asymmetric unit:
Ag1 0.0000 0.2852 0.0000 (multiplicity 8)
Cl1 0.0000 0.0000 0.5674 (multiplicity 4)
F1 0.0000 0.2750 0.1964 (multiplicity 8)

***

# 9
DFT (PBE-GGA) results for a geometry-optimized Ag3ClF7 structure.

Properties
raw formation energy = -9.32 eV/f.u.

a = 7.0353 Å, b = 7.0353 Å, c = 5.1142 Å
α = 90.00°, β = 90.00°, γ = 120.00°
Space group P3m1 (No. 156)
Asymmetric unit:
Ag1 0.1681 0.3363 0.0000 (multiplicity 3)
Cl1 0.0000 0.0000 0.6725 (multiplicity 1)
F1 0.0486 0.5243 0.8183 (multiplicity 3)
F2 0.2810 0.1405 0.1805 (multiplicity 3)
F3 0.3333 0.6667 0.2257 (multiplicity 1)

***

# 10
DFT (PBE-GGA) results for a geometry-optimized Ag12Cl3F5 structure.

Properties
raw formation energy = -7.69 eV/f.u.

a = 14.8910 Å, b = 14.8910 Å, c = 14.8910 Å
α = 90.00°, β = 90.00°, γ = 90.00°
Space group Ia-3d (No. 230)
Asymmetric unit:
Ag1 0.0376 0.0726 0.6409 (multiplicity 96)
Cl1 0.0000 0.2500 0.1250 (multiplicity 24)
F1 0.0000 0.0000 0.0000 (multiplicity 16)
F2 0.0000 0.2500 0.3750 (multiplicity 24)

***

# 11
DFT (PBE-GGA) results for a geometry-optimized Ag6Cl8F structure.

Properties
raw formation energy = -6.57 eV/f.u.

a = 8.3850 Å, b = 8.2954 Å, c = 11.5841 Å
α = 90.00°, β = 90.00°, γ = 90.00°
Space group Pmn2_1 (No. 31)
Asymmetric unit:
Ag1 0.0000 0.0415 0.0000 (multiplicity 2)
Ag2 0.0000 0.1030 0.3563 (multiplicity 2)
Ag3 0.0000 0.5584 0.1286 (multiplicity 2)
Ag4 0.0000 0.5615 0.4964 (multiplicity 2)
Ag5 0.2024 0.1475 0.7161 (multiplicity 4)
Cl1 0.0000 0.0262 0.5706 (multiplicity 2)
Cl2 0.0000 0.2525 0.1617 (multiplicity 2)
Cl3 0.2016 0.9053 0.8504 (multiplicity 4)
Cl4 0.2031 0.4190 0.6082 (multiplicity 4)
Cl5 0.2168 0.6846 0.3899 (multiplicity 4)
F1 0.0000 0.8315 0.1448 (multiplicity 2)

***

# 12
DFT (PBE-GGA) results for a geometry-optimized AgCl6F12 structure.

Properties
raw formation energy = -10.87 eV/f.u.

a = 6.0213 Å, b = 6.3789 Å, c = 10.8331 Å
α = 79.50°, β = 81.71°, γ = 71.75°
Space group P-1 (No. 2)
Asymmetric unit:
Ag1 0.0000 0.0000 0.0000 (multiplicity 1)
Cl1 0.0552 0.1386 0.5439 (multiplicity 2)
Cl2 0.2157 0.4909 0.8594 (multiplicity 2)
Cl3 0.2475 0.2500 0.1996 (multiplicity 2)
F1 0.1713 0.6488 0.5263 (multiplicity 2)
F2 0.1933 0.2654 0.7997 (multiplicity 2)
F3 0.2409 0.9954 0.1236 (multiplicity 2)
F4 0.2644 0.7266 0.9329 (multiplicity 2)
F5 0.2778 0.4553 0.2701 (multiplicity 2)
F6 0.2831 0.9281 0.6147 (multiplicity 2)